Entry 1:
{
  "formula": "AsPdAuO",
  "functional": "PBE",
  "state": "optimized geometry",
  "cell": [[3.4695, 0.0000, 0.0000], [0.0000, 6.1056, 0.0000], [0.0000, 0.0000, 6.5803]],
  "species": ["As", "As", "Pd", "Pd", "Au", "Au", "O", "O"],
  "frac_coords": [[0.0000, 0.2070, 0.0000], [0.0000, 0.7930, 0.5000], [0.5000, 0.4614, 0.1134], [0.5000, 0.5386, 0.6134], [0.0000, 0.1834, 0.6313], [0.0000, 0.8166, 0.1313], [0.5000, 0.3103, 0.3850], [0.5000, 0.6897, 0.8850]],
  "e_above_lowest_polymorph_mev_per_atom": 0.0,
  "spacegroup": "No. 26"
}

Entry 2:
{
  "formula": "TlCoPdW",
  "functional": "PBE",
  "state": "optimized geometry",
  "cell": [[0.0000, 3.1704, 3.1704], [3.1704, 0.0000, 3.1704], [3.1704, 3.1704, 0.0000]],
  "species": ["Tl", "Co", "Pd", "W"],
  "frac_coords": [[0.0000, 0.0000, 0.0000], [0.2500, 0.2500, 0.2500], [0.7500, 0.7500, 0.7500], [0.5000, 0.5000, 0.5000]],
  "e_above_lowest_polymorph_mev_per_atom": 0.0,
  "spacegroup": "No. 216"
}

Entry 3:
{
  "formula": "NaTe2PtAuSe",
  "functional": "PBE",
  "state": "optimized geometry",
  "cell": [[1.9839, -7.3322, 0.0000], [1.9839, 7.3322, 0.0000], [0.0000, 0.0000, 10.7821]],
  "species": ["Na", "Na", "Te", "Te", "Te", "Te", "Pt", "Pt", "Au", "Au", "Se", "Se"],
  "frac_coords": [[0.2156, 0.7844, 0.7500], [0.7844, 0.2156, 0.2500], [0.1221, 0.8779, 0.0089], [0.1221, 0.8779, 0.4911], [0.8779, 0.1221, 0.5089], [0.8779, 0.1221, 0.9911], [0.5000, 0.5000, 0.0000], [0.5000, 0.5000, 0.5000], [0.1287, 0.8713, 0.2500], [0.8713, 0.1287, 0.7500], [0.4525, 0.5475, 0.2500], [0.5475, 0.4525, 0.7500]],
  "spacegroup": "No. 63",
  "dft_energy_ev_per_atom": -3.71
}

Entry 4:
{
  "formula": "Li4CdAgSn2",
  "functional": "PBE",
  "state": "optimized geometry",
  "cell": [[4.6698, 0.0000, 0.0000], [0.0000, 4.6698, 0.0000], [0.0000, 0.0000, 6.6011]],
  "species": ["Li", "Li", "Li", "Li", "Cd", "Ag", "Sn", "Sn"],
  "frac_coords": [[0.0000, 0.0000, 0.0000], [0.0000, 0.5000, 0.2393], [0.5000, 0.0000, 0.7607], [0.5000, 0.5000, 0.5000], [0.0000, 0.0000, 0.5000], [0.5000, 0.5000, 0.0000], [0.0000, 0.5000, 0.7582], [0.5000, 0.0000, 0.2418]],
  "spacegroup": "No. 115",
  "dft_energy_ev_per_atom": -2.78
}

Entry 5:
{
  "formula": "Nb5F",
  "functional": "PBE",
  "state": "optimized geometry",
  "cell": [[5.4355, 0.0000, 0.0000], [-2.7177, 4.7073, 0.0000], [0.0000, 0.0000, 4.7363]],
  "species": ["Nb", "Nb", "Nb", "Nb", "Nb", "F"],
  "frac_coords": [[0.0000, 0.5000, 0.0000], [0.3333, 0.6667, 0.5000], [0.5000, 0.0000, 0.0000], [0.5000, 0.5000, 0.0000], [0.6667, 0.3333, 0.5000], [0.0000, 0.0000, 0.5000]],
  "spacegroup": "No. 191",
  "dft_energy_ev_per_atom": -7.98
}

Entry 6:
{
  "formula": "LiNiAgTe2Se",
  "functional": "PBE",
  "state": "optimized geometry",
  "cell": [[1.9336, -6.2492, 0.0000], [1.9336, 6.2492, 0.0000], [0.0000, 0.0000, 10.7642]],
  "species": ["Li", "Li", "Ni", "Ni", "Ag", "Ag", "Te", "Te", "Te", "Te", "Se", "Se"],
  "frac_coords": [[0.2141, 0.7859, 0.7500], [0.7859, 0.2141, 0.2500], [0.5000, 0.5000, 0.0000], [0.5000, 0.5000, 0.5000], [0.0965, 0.9035, 0.2500], [0.9035, 0.0965, 0.7500], [0.1365, 0.8635, 0.0050], [0.1365, 0.8635, 0.4950], [0.8635, 0.1365, 0.5050], [0.8635, 0.1365, 0.9950], [0.4381, 0.5619, 0.2500], [0.5619, 0.4381, 0.7500]],
  "spacegroup": "No. 63",
  "dft_energy_ev_per_atom": -3.57
}

Entry 7:
{
  "formula": "GdDy2In3PdPt2",
  "functional": "PBE",
  "state": "optimized geometry",
  "cell": [[3.8467, 0.0000, 0.0000], [0.0000, 6.6952, 3.8549], [0.0000, -6.6952, 3.8549]],
  "species": ["Gd", "Dy", "Dy", "In", "In", "In", "Pd", "Pt", "Pt"],
  "frac_coords": [[0.0000, 0.0000, 0.0000], [0.0000, 0.4106, 0.8209], [0.0000, 0.8209, 0.4106], [0.5000, 0.1522, 0.4111], [0.5000, 0.4111, 0.1522], [0.5000, 0.6682, 0.6682], [0.0000, 0.4109, 0.4109], [0.5000, 0.0775, 0.7423], [0.5000, 0.7423, 0.0775]],
  "spacegroup": "No. 38",
  "dft_energy_ev_per_atom": -5.33
}

Entry 8:
{
  "formula": "Li2BeOs",
  "functional": "PBE",
  "state": "optimized geometry",
  "cell": [[0.0000, 2.8087, 2.8087], [2.8087, 0.0000, 2.8087], [2.8087, 2.8087, 0.0000]],
  "species": ["Li", "Li", "Be", "Os"],
  "frac_coords": [[0.0000, 0.0000, 0.0000], [0.2500, 0.2500, 0.2500], [0.5000, 0.5000, 0.5000], [0.7500, 0.7500, 0.7500]],
  "spacegroup": "No. 216",
  "dft_energy_ev_per_atom": -4.38
}

Entry 9:
{
  "formula": "HoLuNO",
  "functional": "PBE",
  "state": "optimized geometry",
  "cell": [[4.7584, 0.0000, 0.0000], [0.0000, 3.8957, 0.0000], [0.0000, 0.0000, 6.7747]],
  "species": ["Ho", "Ho", "Lu", "Lu", "N", "N", "O", "O"],
  "frac_coords": [[0.2500, 0.0000, 0.1639], [0.7500, 0.0000, 0.8361], [0.2500, 0.5000, 0.6670], [0.7500, 0.5000, 0.3330], [0.2500, 0.5000, 0.3407], [0.7500, 0.5000, 0.6593], [0.2500, 0.0000, 0.8160], [0.7500, 0.0000, 0.1840]],
  "e_above_lowest_polymorph_mev_per_atom": 70.4,
  "spacegroup": "No. 51"
}

Entry 10:
{
  "formula": "Pr2Dy",
  "functional": "PBE",
  "state": "optimized geometry",
  "cell": [[0.0000, 4.7401, 4.7401], [4.7401, 0.0000, 4.7401], [4.7401, 4.7401, 0.0000]],
  "species": ["Pr", "Pr", "Pr", "Pr", "Dy", "Dy"],
  "frac_coords": [[0.0000, 0.0000, 0.0000], [0.0000, 0.0000, 0.5000], [0.0000, 0.5000, 0.0000], [0.5000, 0.0000, 0.0000], [0.3750, 0.3750, 0.3750], [0.6250, 0.6250, 0.6250]],
  "e_above_lowest_polymorph_mev_per_atom": 0.0,
  "formation_energy_ev_per_atom": 0.2650,
  "spacegroup": "No. 227"
}

Entry 11:
{
  "formula": "NaLaCoTe3",
  "functional": "PBE",
  "state": "optimized geometry",
  "cell": [[12.3454, 0.0000, 0.0000], [0.0000, 4.4182, 0.0000], [0.0000, 0.0000, 12.9402]],
  "species": ["Na", "Na", "Na", "Na", "La", "La", "La", "La", "Co", "Co", "Co", "Co", "Te", "Te", "Te", "Te", "Te", "Te", "Te", "Te", "Te", "Te", "Te", "Te"],
  "frac_coords": [[0.1804, 0.2500, 0.0036], [0.3196, 0.7500, 0.5036], [0.6804, 0.2500, 0.4964], [0.8196, 0.7500, 0.9964], [0.0269, 0.2500, 0.3183], [0.4731, 0.7500, 0.8183], [0.5269, 0.2500, 0.1817], [0.9731, 0.7500, 0.6817], [0.2487, 0.2500, 0.7133], [0.2513, 0.7500, 0.2133], [0.7487, 0.2500, 0.7867], [0.7513, 0.7500, 0.2867], [0.0578, 0.7500, 0.1412], [0.1182, 0.2500, 0.5601], [0.2082, 0.7500, 0.8077], [0.2918, 0.2500, 0.3077], [0.3818, 0.7500, 0.0601], [0.4422, 0.2500, 0.6412], [0.5578, 0.7500, 0.3588], [0.6182, 0.2500, 0.9399], [0.7082, 0.7500, 0.6923], [0.7918, 0.2500, 0.1923], [0.8818, 0.7500, 0.4399], [0.9422, 0.2500, 0.8588]],
  "e_above_lowest_polymorph_mev_per_atom": 0.0,
  "spacegroup": "No. 62"
}

Entry 12:
{
  "formula": "NaTmSnSe3",
  "functional": "PBE",
  "state": "optimized geometry",
  "cell": [[2.0282, -7.7368, 0.0000], [2.0282, 7.7368, 0.0000], [0.0000, 0.0000, 11.4243]],
  "species": ["Na", "Na", "Tm", "Tm", "Sn", "Sn", "Se", "Se", "Se", "Se", "Se", "Se"],
  "frac_coords": [[0.1468, 0.8532, 0.7500], [0.8532, 0.1468, 0.2500], [0.5000, 0.5000, 0.0000], [0.5000, 0.5000, 0.5000], [0.1448, 0.8552, 0.2500], [0.8552, 0.1448, 0.7500], [0.1261, 0.8739, 0.5067], [0.1261, 0.8739, 0.9933], [0.4782, 0.5218, 0.7500], [0.5218, 0.4782, 0.2500], [0.8739, 0.1261, 0.0067], [0.8739, 0.1261, 0.4933]],
  "e_above_lowest_polymorph_mev_per_atom": 106.3,
  "spacegroup": "No. 63"
}

Entry 13:
{
  "formula": "ReO4",
  "functional": "PBE",
  "state": "optimized geometry",
  "cell": [[4.8665, 0.0000, 0.0000], [0.0000, 5.9306, 0.0000], [-1.8569, 0.0000, 4.7006]],
  "species": ["Re", "Re", "O", "O", "O", "O", "O", "O", "O", "O"],
  "frac_coords": [[0.0000, 0.2004, 0.2500], [0.0000, 0.7996, 0.7500], [0.2034, 0.0907, 0.0269], [0.2034, 0.9093, 0.5269], [0.2658, 0.3771, 0.4686], [0.2658, 0.6229, 0.9686], [0.7342, 0.3771, 0.0314], [0.7342, 0.6229, 0.5314], [0.7966, 0.0907, 0.4731], [0.7966, 0.9093, 0.9731]],
  "spacegroup": "No. 13",
  "dft_energy_ev_per_atom": -7.48
}

Entry 14:
{
  "formula": "HgAsIrO",
  "functional": "PBE",
  "state": "optimized geometry",
  "cell": [[4.1080, 0.0000, 0.0000], [0.0000, 4.1080, 0.0000], [0.0000, 0.0000, 8.3536]],
  "species": ["Hg", "Hg", "As", "As", "Ir", "Ir", "O", "O"],
  "frac_coords": [[0.2500, 0.7500, 0.0000], [0.7500, 0.2500, 0.0000], [0.2500, 0.2500, 0.2975], [0.7500, 0.7500, 0.7025], [0.2500, 0.2500, 0.5922], [0.7500, 0.7500, 0.4078], [0.2500, 0.7500, 0.5000], [0.7500, 0.2500, 0.5000]],
  "e_above_lowest_polymorph_mev_per_atom": 589.8,
  "spacegroup": "No. 129"
}

Entry 15:
{
  "formula": "Na2MgTcO6",
  "functional": "PBE",
  "state": "optimized geometry",
  "cell": [[-2.7045, 2.7045, 3.8847], [2.7045, -2.7045, 3.8847], [2.7045, 2.7045, -3.8847]],
  "species": ["Na", "Na", "Mg", "Tc", "O", "O", "O", "O", "O", "O"],
  "frac_coords": [[0.2500, 0.7500, 0.5000], [0.7500, 0.2500, 0.5000], [0.0000, 0.0000, 0.0000], [0.5000, 0.5000, 0.0000], [0.2092, 0.6896, 0.8988], [0.2576, 0.2576, 0.0000], [0.3104, 0.2092, 0.5197], [0.6896, 0.7908, 0.4803], [0.7424, 0.7424, 0.0000], [0.7908, 0.3104, 0.1012]],
  "e_above_lowest_polymorph_mev_per_atom": 0.0,
  "spacegroup": "No. 87"
}

Entry 16:
{
  "formula": "Lu2BO4",
  "functional": "PBE",
  "state": "optimized geometry",
  "cell": [[0.0000, 4.1953, 4.1953], [4.1953, 0.0000, 4.1953], [4.1953, 4.1953, 0.0000]],
  "species": ["Lu", "Lu", "Lu", "Lu", "B", "B", "O", "O", "O", "O", "O", "O", "O", "O"],
  "frac_coords": [[0.0000, 0.0000, 0.0000], [0.0000, 0.0000, 0.5000], [0.0000, 0.5000, 0.0000], [0.5000, 0.0000, 0.0000], [0.3750, 0.3750, 0.3750], [0.6250, 0.6250, 0.6250], [0.2694, 0.2694, 0.2694], [0.2694, 0.2694, 0.6917], [0.2694, 0.6917, 0.2694], [0.3083, 0.7306, 0.7306], [0.6917, 0.2694, 0.2694], [0.7306, 0.3083, 0.7306], [0.7306, 0.7306, 0.3083], [0.7306, 0.7306, 0.7306]],
  "spacegroup": "No. 227",
  "dft_energy_ev_per_atom": -7.79
}

Entry 17:
{
  "formula": "ScBeCu4Sn2",
  "functional": "PBE",
  "state": "optimized geometry",
  "cell": [[4.3218, 0.0000, 0.0000], [0.0000, 4.3218, 0.0000], [0.0000, 0.0000, 6.5547]],
  "species": ["Sc", "Be", "Cu", "Cu", "Cu", "Cu", "Sn", "Sn"],
  "frac_coords": [[0.0000, 0.0000, 0.0000], [0.5000, 0.5000, 0.5000], [0.0000, 0.5000, 0.2787], [0.0000, 0.5000, 0.7213], [0.5000, 0.0000, 0.2787], [0.5000, 0.0000, 0.7213], [0.0000, 0.0000, 0.5000], [0.5000, 0.5000, 0.0000]],
  "spacegroup": "No. 123",
  "dft_energy_ev_per_atom": -4.15
}

Entry 18:
{
  "formula": "Ag2H",
  "functional": "PBE",
  "state": "optimized geometry",
  "cell": [[0.0000, 3.7921, 3.7921], [3.7921, 0.0000, 3.7921], [3.7921, 3.7921, 0.0000]],
  "species": ["Ag", "Ag", "Ag", "Ag", "H", "H"],
  "frac_coords": [[0.0000, 0.0000, 0.0000], [0.0000, 0.0000, 0.5000], [0.0000, 0.5000, 0.0000], [0.5000, 0.0000, 0.0000], [0.3750, 0.3750, 0.3750], [0.6250, 0.6250, 0.6250]],
  "spacegroup": "No. 227",
  "dft_energy_ev_per_atom": -2.04
}

Entry 19:
{
  "formula": "CsPr2CuTe4",
  "functional": "PBE",
  "state": "optimized geometry",
  "cell": [[2.2726, -7.9726, 0.0000], [2.2726, 7.9726, 0.0000], [0.0000, 0.0000, 15.8106]],
  "species": ["Cs", "Cs", "Pr", "Pr", "Pr", "Pr", "Cu", "Cu", "Te", "Te", "Te", "Te", "Te", "Te", "Te", "Te"],
  "frac_coords": [[0.1071, 0.8929, 0.7500], [0.8929, 0.1071, 0.2500], [0.3652, 0.6348, 0.5618], [0.3652, 0.6348, 0.9382], [0.6348, 0.3652, 0.0618], [0.6348, 0.3652, 0.4382], [0.1620, 0.8380, 0.2500], [0.8380, 0.1620, 0.7500], [0.0000, 0.0000, 0.0000], [0.0000, 0.0000, 0.5000], [0.2624, 0.7376, 0.1141], [0.2624, 0.7376, 0.3859], [0.4263, 0.5737, 0.7500], [0.5737, 0.4263, 0.2500], [0.7376, 0.2624, 0.6141], [0.7376, 0.2624, 0.8859]],
  "spacegroup": "No. 63",
  "dft_energy_ev_per_atom": -4.52
}

Entry 20:
{
  "formula": "ZrScGa2Pd4",
  "functional": "PBE",
  "state": "optimized geometry",
  "cell": [[4.3275, 0.0000, 0.0000], [-2.1638, 3.7478, 0.0000], [0.0000, 0.0000, 8.6058]],
  "species": ["Zr", "Sc", "Ga", "Ga", "Pd", "Pd", "Pd", "Pd"],
  "frac_coords": [[0.0000, 0.0000, 0.0000], [0.6667, 0.3333, 0.5000], [0.3333, 0.6667, 0.2532], [0.3333, 0.6667, 0.7468], [0.0000, 0.0000, 0.3355], [0.0000, 0.0000, 0.6645], [0.6667, 0.3333, 0.1631], [0.6667, 0.3333, 0.8369]],
  "spacegroup": "No. 187",
  "dft_energy_ev_per_atom": -6.00
}

Calculated theoretical density, 9.39, 14.42, 7.93, 5.60, 6.63, 6.48, 11.07, 7.99, 9.78, 6.93, 5.68, 5.07, 6.12, 11.40, 3.86, 9.55, 7.40, 6.60, 5.73, 8.34 g/cm3 (same order as the records).